Entry 1:
# PrGd3Si4 PBE-GGA optimized geometry
data_PrGd3Si4
_chemical_formula_sum 'Pr1 Gd3 Si4'
_cell_length_a 5.814
_cell_length_b 3.889
_cell_length_c 8.090
_cell_angle_alpha 90.00
_cell_angle_beta 90.31
_cell_angle_gamma 90.00
_space_group_name_H-M_alt 'P 1 m 1'
_space_group_IT_number 6
_space_group_name_Hall 'P -2y'
loop_
_atom_site_label
_atom_site_fract_x
_atom_site_fract_y
_atom_site_fract_z
Pr1 0.000 0.000 0.000
Gd1 0.229 0.500 0.360
Gd2 0.500 0.500 0.858
Gd3 0.728 0.000 0.500
Si1 0.242 0.000 0.640
Si2 0.488 0.000 0.145
Si3 0.737 0.500 0.221
Si4 0.989 0.500 0.710
# Raw total energy, eV/atom: -5.85
# V, Å³/f.u.: 182.92



Entry 2:
# PrGd2Si2 PBE-GGA optimized geometry
data_PrGd2Si2
_chemical_formula_sum 'Pr2 Gd4 Si4'
_cell_length_a 7.761
_cell_length_b 7.761
_cell_length_c 4.159
_cell_angle_alpha 90.00
_cell_angle_beta 90.00
_cell_angle_gamma 90.00
_space_group_name_H-M_alt 'P 4/m b m'
_space_group_IT_number 127
_space_group_name_Hall '-P 4 2ab'
loop_
_atom_site_label
_atom_site_fract_x
_atom_site_fract_y
_atom_site_fract_z
Pr1 0.000 0.000 0.000
Gd1 0.176 0.324 0.500
Si1 0.112 0.612 0.000
# Raw total energy, eV/atom: -5.61
# V, Å³/f.u.: 125.26



Entry 3:
# PrSmGd PBE-GGA optimized geometry
data_PrSmGd
_chemical_formula_sum 'Pr4 Sm4 Gd4'
_cell_length_a 7.839
_cell_length_b 7.839
_cell_length_c 7.839
_cell_angle_alpha 90.00
_cell_angle_beta 90.00
_cell_angle_gamma 90.00
_space_group_name_H-M_alt 'F -4 3 m'
_space_group_IT_number 216
_space_group_name_Hall 'F -4 2 3'
loop_
_atom_site_label
_atom_site_fract_x
_atom_site_fract_y
_atom_site_fract_z
Pr1 0.000 0.000 0.000
Sm1 0.250 0.250 0.750
Gd1 0.000 0.000 0.500
# Formation energy, eV per atom: 0.71
# V, Å³/f.u.: 120.42
# Excess energy over the best structure of this formula in the dataset, meV per atom: 0